Crystalline Li3Ac2AuO6 at its relaxed geometry, computed with GGA-PBE.

Results
M_tot ... 0.00 μB per cell
Formation energy without anion corrections ... -1.87 eV/atom
Density of states at the Fermi level ... 3.306 states/eV per cell

The structure in CIF format:
```
data_Li3Ac2AuO6
_chemical_formula_sum 'Li3 Ac2 Au1 O6'
_symmetry_space_group_name_H-M 'P 1'
_symmetry_Int_Tables_number 1
_cell_length_a 6.662
_cell_length_b 6.662
_cell_length_c 5.013
_cell_angle_alpha 97.11
_cell_angle_beta 97.11
_cell_angle_gamma 128.13
loop_
_symmetry_equiv_pos_as_xyz
'x,y,z'
loop_
_atom_site_label
_atom_site_type_symbol
_atom_site_fract_x
_atom_site_fract_y
_atom_site_fract_z
O1 O 0.939 0.629 0.724
O2 O 0.061 0.371 0.276
O3 O 0.371 0.061 0.276
Li1 Li 0.894 0.106 0.500
Li2 Li 0.500 0.500 0.500
Ac1 Ac 0.330 0.670 0.000
Au1 Au 0.000 0.000 0.000
Li3 Li 0.106 0.894 0.500
Ac2 Ac 0.670 0.330 0.000
O4 O 0.629 0.939 0.724
O5 O 0.756 0.756 0.234
O6 O 0.244 0.244 0.766
```